Sr2TcRu after structural relaxation. Source: Alexandria, functional PBE.

Unit cell a=3.928 b=5.296 c=10.665 alpha=90.00 beta=90.00 gamma=90.00
Fractional coordinates of all 8 atoms:
1 Sr 0.000 0.000 0.000
2 Sr 0.000 0.500 0.218
3 Sr 0.500 0.000 0.718
4 Sr 0.500 0.500 0.500
5 Tc 0.000 0.000 0.416
6 Tc 0.500 0.500 0.916
7 Ru 0.000 0.500 0.799
8 Ru 0.500 0.000 0.299

Calculated values
- Energy above the lowest structure with this stoichiometry: 255 meV per atom
- E_form: 41.6 kJ per mole of atoms